12
Lattice="-0.2715 0.5389 -5.0500 -5.0372 0.0424 2.7494 2.4684 5.0397 0.4770" Properties=species:S:1:pos:R:3 comment="TiAlW2O8 PBE with a Hubbard U optimized geometry" total_energy_ev_per_atom=-7.801 magnetic_moment_mub_per_fu=3.00 crystal_system=triclinic volume_a3_per_cell=137.4 de_polymorph_mev_per_atom=68 pbc="T T T"
O -2.9466 3.9662 -0.6986
O -0.5076 3.2808 -2.3839
O -3.8943 1.3097 -1.1155
O -1.8724 0.6750 -2.9729
O -2.2475 4.8097 1.8032
O 0.3628 4.2861 -0.0274
O -1.2762 1.5846 -0.1057
O -3.2390 2.2421 1.5164
Al 1.0801 3.8853 -1.8053
W -2.1487 2.4696 -1.8525
W -2.9944 0.5260 0.5363
Ti -0.4278 0.6670 -4.6991